1.
## MgAg2 (PBE)

Data for an optimized crystal structure of MgAg2.

Results
Calculated formation energy: -12.7 kJ per mole of atoms

Lattice parameters (Å, degrees): 4.6240 4.6240 2.9677 90.00 90.00 120.00
Space group P-3m1 (No. 164)
Inequivalent atoms, fractional coordinates:
Mg: 0.0000 0.0000 0.0000
Ag: 0.3333 0.6667 0.6721

2.
## CrRu3 (PBE)

Data for an optimized crystal structure of CrRu3.

Results
Calculated formation energy: 9.2 kJ per mole of atoms

Lattice parameters (Å, degrees): 3.764 3.764 7.605 90.00 90.00 90.00
Space group I4/mmm (No. 139)
Inequivalent atoms, fractional coordinates:
Cr: 0.000 0.000 0.000
Ru: 0.000 0.000 0.500
Ru: 0.000 0.500 0.250

3.
## Ca2SnCl (PBE)

Data for an optimized crystal structure of Ca2SnCl.

Results
Formation energy without anion corrections: -1.06 eV/atom

Lattice parameters (Å, degrees): 3.671 3.671 8.183 90.00 90.00 90.00
Space group P4/mmm (No. 123)
Inequivalent atoms, fractional coordinates:
Ca: 0.000 0.000 0.239
Sn: 0.500 0.500 0.000
Cl: 0.500 0.500 0.500